1.
4
Lattice="3.253 0.000 0.000 0.000 4.161 0.000 -0.753 0.000 7.544" Properties=species:S:1:pos:R:3 comment="Tl2ZnAs (PBE, optimized geometry)" magmom_total_mub_per_fu=0.00 formation_enthalpy_0k_kcal_per_mol_atoms=4.8 spacegroup=P2/m de_polymorph_ev_per_atom=0.232 pbc="T T T"
Tl -0.009 0.000 1.824
Tl 2.508 0.000 5.720
Zn 1.250 2.081 3.772
As 1.626 2.081 0.000


2.
4
Lattice="3.076 0.000 0.000 0.000 3.718 0.000 0.000 0.000 7.315" Properties=species:S:1:pos:R:3 comment="TlZn2As (PBE, optimized geometry)" magmom_total_mub_per_fu=0.00 formation_enthalpy_0k_kcal_per_mol_atoms=4.4 spacegroup=Pmmm pbc="T T T"
Tl 0.000 0.000 0.000
Zn 1.538 1.859 2.173
Zn 1.538 1.859 5.142
As 0.000 0.000 3.658


3.
6
Lattice="0.000 4.508 4.508 4.508 0.000 4.508 4.508 4.508 0.000" Properties=species:S:1:pos:R:3 comment="Tl4ZnAs (PBE, optimized geometry)" magmom_total_mub_per_fu=0.00 formation_enthalpy_0k_kcal_per_mol_atoms=9.2 spacegroup=F-43m pbc="T T T"
Tl 1.131 1.131 1.131
Tl 3.377 3.377 1.131
Tl 3.377 1.131 3.377
Tl 1.131 3.377 3.377
Zn 6.762 6.762 6.762
As 4.508 4.508 4.508


4.
4
Lattice="2.766 -5.446 0.000 2.766 5.446 0.000 0.000 0.000 2.967" Properties=species:S:1:pos:R:3 comment="TlZnAs2 (PBE, optimized geometry)" magmom_total_mub_per_fu=0.00 formation_enthalpy_0k_kcal_per_mol_atoms=7.9 spacegroup=Cmmm de_polymorph_ev_per_atom=0.287 pbc="T T T"
Tl 0.000 0.000 0.000
Zn 2.766 0.000 0.000
As 1.383 2.723 1.483
As 1.383 -2.723 1.483